The following is a DFT calculation (PBE) of a relaxed structure of ZrSnSe2Br.

Geometry as CIF:
```
data_ZrSnSe2Br
_symmetry_space_group_name_H-M 'P 4/m m m'
_symmetry_Int_Tables_number 123
_symmetry_space_group_name_Hall '-P 4 2'
_cell_length_a 5.2608
_cell_length_b 5.2608
_cell_length_c 5.2633
_cell_angle_alpha 90.00
_cell_angle_beta 90.00
_cell_angle_gamma 90.00
loop_
_atom_site_label
_atom_site_fract_x
_atom_site_fract_y
_atom_site_fract_z
Zr1 0.0000 0.0000 0.0000
Sn1 0.5000 0.5000 0.5000
Se1 0.0000 0.5000 0.0000
Br1 0.0000 0.0000 0.5000
```

Output
* raw formation energy: -560 meV/atom
* raw total energy: -23.99 eV per cell
* E above lowest polymorph: 0.0 kJ per mole of atoms